The following is a PBE calculation of crystalline Sc2BeAl at its relaxed geometry, from Alexandria. Values from VASP.

```
&SYSTEM
  ibrav = 0, nat = 4, ntyp = 3
/
ATOMIC_SPECIES
Sc 44.96 Sc.upf
Be 9.01 Be.upf
Al 26.98 Al.upf
CELL_PARAMETERS angstrom
-4.9960 7.1908 -0.8802
-6.6988 5.0752 -2.6099
-7.0681 5.2098 0.5858
ATOMIC_POSITIONS angstrom
Sc -0.1627 0.1516 -0.0252
Sc -9.2187 8.5863 -1.4269
Be -14.0722 13.1068 -2.1781
Al -4.6907 4.3689 -0.7260
```

Values from the calculation:
Its calculated formation energy is 36 meV/atom. As for the energy above the most stable polymorph in this dataset: 306 meV per atom. The value obtained for the final energy is -20.0 eV per cell. For the spin magnetization, the calculation gives 0.0 μB/f.u. Its space group is R-3m, No. 166.

***

The following is a PBE calculation of crystalline ScBeAl at its relaxed geometry, from Alexandria. Values from VASP.

```
&SYSTEM
  ibrav = 0, nat = 3, ntyp = 3
/
ATOMIC_SPECIES
Sc 44.96 Sc.upf
Be 9.01 Be.upf
Al 26.98 Al.upf
CELL_PARAMETERS angstrom
5.7939 0.0250 -0.0268
5.0385 2.8607 -0.0255
0.7555 0.1999 2.8287
ATOMIC_POSITIONS angstrom
Sc 7.5855 2.0203 0.8760
Be 4.2436 1.1296 1.8314
Al 10.5911 2.8214 0.0167
```

Values from the calculation:
Its calculated formation energy is -126 meV/atom. As for the energy above the most stable polymorph in this dataset: 171 meV per atom. The value obtained for the final energy is -14.2 eV per cell. For the spin magnetization, the calculation gives 0.3 μB/f.u. Its space group is I4mm, No. 107.

***

The following is a PBE calculation of crystalline ScBeAl at its relaxed geometry, from Alexandria. Values from VASP.

```
&SYSTEM
  ibrav = 0, nat = 3, ntyp = 3
/
ATOMIC_SPECIES
Sc 44.96 Sc.upf
Be 9.01 Be.upf
Al 26.98 Al.upf
CELL_PARAMETERS angstrom
-1.7317 -3.0001 -2.7350
2.5642 -3.1465 -1.7332
-0.4500 -4.1881 1.3179
ATOMIC_POSITIONS angstrom
Sc 0.2868 -7.7511 -2.3628
Be 0.1912 -5.1674 -1.5752
Al 0.0000 0.0000 0.0000
```

Values from the calculation:
Its calculated formation energy is 616 meV/atom. As for the energy above the most stable polymorph in this dataset: 912 meV per atom. The value obtained for the final energy is -12.0 eV per cell. For the spin magnetization, the calculation gives 0.0 μB/f.u. Its space group is F-43m, No. 216.

***

The following is a PBE calculation of crystalline Sc2BeAl at its relaxed geometry, from Alexandria. Values from VASP.

```
&SYSTEM
  ibrav = 0, nat = 4, ntyp = 3
/
ATOMIC_SPECIES
Sc 44.96 Sc.upf
Be 9.01 Be.upf
Al 26.98 Al.upf
CELL_PARAMETERS angstrom
-1.2697 -0.1187 -2.7529
-1.7603 -2.2971 0.9108
-5.4122 5.0509 2.2783
ATOMIC_POSITIONS angstrom
Sc -5.1480 4.8043 2.1671
Sc -3.0190 0.1957 -0.2880
Be -5.4103 2.4273 0.7187
Al -2.9832 2.7841 1.2558
```

Values from the calculation:
Its calculated formation energy is -86 meV/atom. As for the energy above the most stable polymorph in this dataset: 184 meV per atom. The value obtained for the final energy is -20.5 eV per cell. For the spin magnetization, the calculation gives 0.0 μB/f.u. Its space group is P4mm, No. 99.

***

Please write out number 4 again, unchanged.
The following is a PBE calculation of crystalline Sc2BeAl at its relaxed geometry, from Alexandria. Values from VASP.

```
&SYSTEM
  ibrav = 0, nat = 4, ntyp = 3
/
ATOMIC_SPECIES
Sc 44.96 Sc.upf
Be 9.01 Be.upf
Al 26.98 Al.upf
CELL_PARAMETERS angstrom
-1.2697 -0.1187 -2.7529
-1.7603 -2.2971 0.9108
-5.4122 5.0509 2.2783
ATOMIC_POSITIONS angstrom
Sc -5.1480 4.8043 2.1671
Sc -3.0190 0.1957 -0.2880
Be -5.4103 2.4273 0.7187
Al -2.9832 2.7841 1.2558
```

Values from the calculation:
Its calculated formation energy is -86 meV/atom. As for the energy above the most stable polymorph in this dataset: 184 meV per atom. The value obtained for the final energy is -20.5 eV per cell. For the spin magnetization, the calculation gives 0.0 μB/f.u. Its space group is P4mm, No. 99.

***

Q: The highest spin magnetization belongs to which entry?
A: number 2

***

Q: Among the records above, which one has the lowest final energy?
A: number 4

***

Please write out number 3 again, unchanged.
The following is a PBE calculation of crystalline ScBeAl at its relaxed geometry, from Alexandria. Values from VASP.

```
&SYSTEM
  ibrav = 0, nat = 3, ntyp = 3
/
ATOMIC_SPECIES
Sc 44.96 Sc.upf
Be 9.01 Be.upf
Al 26.98 Al.upf
CELL_PARAMETERS angstrom
-1.7317 -3.0001 -2.7350
2.5642 -3.1465 -1.7332
-0.4500 -4.1881 1.3179
ATOMIC_POSITIONS angstrom
Sc 0.2868 -7.7511 -2.3628
Be 0.1912 -5.1674 -1.5752
Al 0.0000 0.0000 0.0000
```

Values from the calculation:
Its calculated formation energy is 616 meV/atom. As for the energy above the most stable polymorph in this dataset: 912 meV per atom. The value obtained for the final energy is -12.0 eV per cell. For the spin magnetization, the calculation gives 0.0 μB/f.u. Its space group is F-43m, No. 216.